Density functional theory data (PBE) for a geometry-optimized KU2HgBr8 structure.

total DFT energy (no corrections)	-4.283	eV per atom
spin magnetization	5.000	Bohr magnetons per cell
formation energy (no corrections)	-1.170	eV per atom

The structure in CIF format:
```
data_KU2HgBr8
_cell_length_a 8.1336
_cell_length_b 8.1336
_cell_length_c 8.0756
_cell_angle_alpha 90.00
_cell_angle_beta 90.00
_cell_angle_gamma 120.00
_space_group_name_H-M_alt 'P -3'
_space_group_IT_number 147
loop_
_space_group_symop_operation_xyz
'x,y,z'
'-x,-y,-z'
'-y,x-y,z'
'y,-x+y,-z'
'-x+y,-x,z'
'x-y,x,-z'
loop_
_atom_site_label
_atom_site_fract_x
_atom_site_fract_y
_atom_site_fract_z
K1 0.0000 0.0000 0.0000
U1 0.3333 0.6667 0.4240
Hg1 0.0000 0.0000 0.5000
Br1 0.0529 0.4041 0.6680
Br2 0.3333 0.6667 0.0825
```

=====

Density functional theory data (PBE) for a geometry-optimized K2UHgBr6 structure.

total DFT energy (no corrections)	-3.748	eV per atom
spin magnetization	2.000	Bohr magnetons per cell
formation energy (no corrections)	-1.366	eV per atom

The structure in CIF format:
```
data_K2UHgBr6
_cell_length_a 8.175
_cell_length_b 8.184
_cell_length_c 9.001
_cell_angle_alpha 90.05
_cell_angle_beta 116.99
_cell_angle_gamma 119.90
_space_group_name_H-M_alt 'P 1'
_space_group_IT_number 1
loop_
_space_group_symop_operation_xyz
'x,y,z'
loop_
_atom_site_label
_atom_site_fract_x
_atom_site_fract_y
_atom_site_fract_z
K1 0.000 0.000 0.000
K2 0.051 0.527 0.577
U1 0.373 0.187 0.561
Hg1 0.390 0.696 0.086
Br1 0.192 0.368 0.342
Br2 0.219 0.236 0.767
Br3 0.517 0.150 0.343
Br4 0.531 0.985 0.767
Br5 0.782 0.549 0.766
Br6 0.974 0.826 0.342
```

=====

Density functional theory data (PBE) for a geometry-optimized KVHgBr6 structure.

total DFT energy (no corrections)	-3.162	eV per atom
spin magnetization	4.000	Bohr magnetons per cell
formation energy (no corrections)	-0.878	eV per atom

The structure in CIF format:
```
data_KVHgBr6
_cell_length_a 7.756
_cell_length_b 17.489
_cell_length_c 6.436
_cell_angle_alpha 90.00
_cell_angle_beta 106.36
_cell_angle_gamma 90.00
_space_group_name_H-M_alt 'C 1 2 1'
_space_group_IT_number 5
loop_
_space_group_symop_operation_xyz
'x,y,z'
'-x,y,-z'
'x+1/2,y+1/2,z'
'-x+1/2,y+1/2,-z'
loop_
_atom_site_label
_atom_site_fract_x
_atom_site_fract_y
_atom_site_fract_z
K1 0.000 0.000 0.000
V1 0.000 0.570 0.000
Hg1 0.000 0.355 0.500
Br1 0.187 0.490 0.275
Br2 0.195 0.642 0.849
Br3 0.201 0.837 0.243
```

=====

Density functional theory data (PBE) for a geometry-optimized KV2HgBr8 structure.

total DFT energy (no corrections)	-3.626	eV per atom
spin magnetization	9.000	Bohr magnetons per cell
formation energy (no corrections)	-0.874	eV per atom

The structure in CIF format:
```
data_KV2HgBr8
_cell_length_a 7.3480
_cell_length_b 7.3480
_cell_length_c 32.1810
_cell_angle_alpha 90.00
_cell_angle_beta 90.00
_cell_angle_gamma 120.00
_space_group_name_H-M_alt 'R -3'
_space_group_IT_number 148
_space_group_name_Hall '-R 3'
loop_
_atom_site_label
_atom_site_fract_x
_atom_site_fract_y
_atom_site_fract_z
K1 0.0000 0.0000 0.0000
V1 0.0000 0.0000 0.2480
Hg1 0.0000 0.0000 0.5000
Br1 0.0000 0.0000 0.1763
Br2 0.0132 0.3892 0.9395
```

=====

Density functional theory data (PBE) for a geometry-optimized K2YHgBr6 structure.

total DFT energy (no corrections)	-3.300	eV per atom
spin magnetization	0.000	Bohr magnetons per cell
formation energy (no corrections)	-1.400	eV per atom

The structure in CIF format:
```
data_K2YHgBr6
_cell_length_a 11.632
_cell_length_b 11.632
_cell_length_c 11.632
_cell_angle_alpha 90.00
_cell_angle_beta 90.00
_cell_angle_gamma 90.00
_space_group_name_H-M_alt 'F m -3 m'
_space_group_IT_number 225
_space_group_name_Hall '-F 4 2 3'
loop_
_atom_site_label
_atom_site_fract_x
_atom_site_fract_y
_atom_site_fract_z
K1 0.250 0.250 0.250
Y1 0.000 0.000 0.000
Hg1 0.000 0.000 0.500
Br1 0.000 0.000 0.240
```

=====

Density functional theory data (PBE) for a geometry-optimized K2ZnHgBr6 structure.

total DFT energy (no corrections)	-2.464	eV per atom
spin magnetization	0.000	Bohr magnetons per cell
formation energy (no corrections)	-1.083	eV per atom

The structure in CIF format:
```
data_K2ZnHgBr6
_cell_length_a 7.710
_cell_length_b 7.710
_cell_length_c 9.295
_cell_angle_alpha 90.05
_cell_angle_beta 114.46
_cell_angle_gamma 119.97
_space_group_name_H-M_alt 'P 1'
_space_group_IT_number 1
loop_
_space_group_symop_operation_xyz
'x,y,z'
loop_
_atom_site_label
_atom_site_fract_x
_atom_site_fract_y
_atom_site_fract_z
K1 0.000 0.000 0.000
K2 0.019 0.509 0.528
Zn1 0.521 0.260 0.782
Hg1 0.518 0.759 0.275
Br1 0.197 0.418 0.281
Br2 0.230 0.284 0.786
Br3 0.502 0.947 0.786
Br4 0.503 0.086 0.280
Br5 0.838 0.555 0.786
Br6 0.866 0.780 0.282
```

=====

Density functional theory data (PBE) for a geometry-optimized K2Zn2HgBr6 structure.

total DFT energy (no corrections)	-2.479	eV per atom
spin magnetization	0.000	Bohr magnetons per cell
formation energy (no corrections)	-1.108	eV per atom

The structure in CIF format:
```
data_K2Zn2HgBr6
_cell_length_a 7.086
_cell_length_b 8.134
_cell_length_c 8.506
_cell_angle_alpha 72.57
_cell_angle_beta 89.39
_cell_angle_gamma 72.20
_space_group_name_H-M_alt 'P -1'
_space_group_IT_number 2
loop_
_space_group_symop_operation_xyz
'x,y,z'
'-x,-y,-z'
loop_
_atom_site_label
_atom_site_fract_x
_atom_site_fract_y
_atom_site_fract_z
K1 0.231 0.243 0.264
Zn1 0.122 0.098 0.847
Hg1 0.500 0.500 0.500
Br1 0.161 0.382 0.836
Br2 0.238 0.884 0.137
Br3 0.267 0.949 0.651
```

=====

Density functional theory data (PBE) for a geometry-optimized K2ZrHgBr6 structure.

total DFT energy (no corrections)	-3.504	eV per atom
spin magnetization	0.000	Bohr magnetons per cell
formation energy (no corrections)	-1.396	eV per atom

The structure in CIF format:
```
data_K2ZrHgBr6
_cell_length_a 8.062
_cell_length_b 8.080
_cell_length_c 8.823
_cell_angle_alpha 90.06
_cell_angle_beta 117.18
_cell_angle_gamma 119.89
_space_group_name_H-M_alt 'P 1'
_space_group_IT_number 1
loop_
_space_group_symop_operation_xyz
'x,y,z'
loop_
_atom_site_label
_atom_site_fract_x
_atom_site_fract_y
_atom_site_fract_z
K1 0.000 0.000 0.000
K2 0.054 0.529 0.581
Zr1 0.375 0.188 0.563
Hg1 0.393 0.697 0.091
Br1 0.206 0.368 0.353
Br2 0.231 0.238 0.766
Br3 0.515 0.147 0.354
Br4 0.529 0.996 0.768
Br5 0.770 0.534 0.767
Br6 0.985 0.840 0.354
```